--- w ---
Compound: Tl2RuS2
Source: Alexandria
Functional: PBE-GGA
Structure: relaxed

Computed properties:
Its symmetry is I4/mmm. The calculation puts the density of states at the Fermi level at 3.5 states/eV/cell. Its calculated volume is 24.893 Å³ per atom.

a b c (Å): 4.176 4.176 7.723
angles (deg): 74.31 74.31 90.00
Fractional positions:
1 S 0.575 0.575 0.851
2 S 0.425 0.425 0.149
3 Tl 0.250 0.750 0.500
4 Tl 0.750 0.250 0.500
5 Ru 0.000 0.000 0.000

=====

--- x ---
Compound: Tl2RuS2
Source: Alexandria
Functional: PBE-GGA
Structure: relaxed

Computed properties:
Its symmetry is P4/mbm. The calculation puts the density of states at the Fermi level at 3.0 states/eV/cell. Its calculated volume is 21.690 Å³ per atom.

a b c (Å): 5.974 5.974 6.077
angles (deg): 90.00 90.00 90.00
Fractional positions:
1 Tl 0.697 0.803 0.500
2 Tl 0.197 0.697 0.500
3 Tl 0.303 0.197 0.500
4 Tl 0.803 0.303 0.500
5 Ru 0.500 0.500 0.000
6 Ru 0.000 0.000 0.000
7 S 0.368 0.868 0.000
8 S 0.868 0.632 0.000
9 S 0.632 0.132 0.000
10 S 0.132 0.368 0.000

=====

x comes first in stability; the runner-up is 875 meV per atom higher.

=====

--- w ---
Compound: TlRu2S
Source: Alexandria
Functional: PBE-GGA
Structure: relaxed

Computed properties:
Its symmetry is Fm-3m. The calculation puts the density of states at the Fermi level at 3.4 states/eV/cell. Its calculated volume is 16.134 Å³ per atom.

a b c (Å): 4.502 4.502 4.502
angles (deg): 60.00 60.00 60.00
Fractional positions:
1 S 0.000 0.000 0.000
2 Ru 0.250 0.250 0.250
3 Ru 0.750 0.750 0.750
4 Tl 0.500 0.500 0.500

=====

--- x ---
Compound: TlRu2S
Source: Alexandria
Functional: PBE-GGA
Structure: relaxed

Computed properties:
Its symmetry is I-42d. The calculation puts the density of states at the Fermi level at 5.7 states/eV/cell. Its calculated volume is 17.851 Å³ per atom.

a b c (Å): 6.879 6.879 5.724
angles (deg): 53.07 53.07 90.00
Fractional positions:
1 S 0.500 0.500 0.000
2 S 0.250 0.750 0.500
3 Ru 0.536 0.125 0.250
4 Ru 0.214 0.625 0.250
5 Ru 0.375 0.464 0.750
6 Ru 0.875 0.786 0.750
7 Tl 0.000 0.000 0.000
8 Tl 0.750 0.250 0.500

=====

x comes first in stability; the runner-up is 402 meV per atom higher.

=====

--- w ---
Compound: VRu3S
Source: Alexandria
Functional: PBE-GGA
Structure: relaxed

Computed properties:
Its symmetry is Pm-3m. The calculation puts the density of states at the Fermi level at 7.3 states/eV/cell. Its calculated volume is 15.952 Å³ per atom.

a b c (Å): 4.305 4.305 4.305
angles (deg): 90.00 90.00 90.00
Fractional positions:
1 Ru 0.500 0.000 0.000
2 Ru 0.000 0.000 0.500
3 Ru 0.000 0.500 0.000
4 V 0.500 0.500 0.500
5 S 0.000 0.000 0.000

=====

--- x ---
Compound: VRu3S
Source: Alexandria
Functional: PBE-GGA
Structure: relaxed

Computed properties:
Its symmetry is Pm-3m. The calculation puts the density of states at the Fermi level at 7.0 states/eV/cell. Its calculated volume is 18.193 Å³ per atom.

a b c (Å): 4.497 4.497 4.497
angles (deg): 90.00 90.00 90.00
Fractional positions:
1 S 0.500 0.500 0.500
2 V 0.000 0.000 0.000
3 Ru 0.500 0.000 0.000
4 Ru 0.000 0.500 0.000
5 Ru 0.000 0.000 0.500

=====

w comes first in stability; the runner-up is 982 meV per atom higher.

=====

--- w ---
Compound: RuWS3
Source: Alexandria
Functional: PBE-GGA
Structure: relaxed

Computed properties:
Its symmetry is Pm-3m. The calculation puts the density of states at the Fermi level at 4.9 states/eV/cell. Its calculated volume is 20.274 Å³ per atom.

a b c (Å): 4.663 4.663 4.663
angles (deg): 90.00 90.00 90.00
Fractional positions:
1 S 0.000 0.500 0.000
2 S 0.000 0.000 0.500
3 S 0.500 0.000 0.000
4 W 0.000 0.000 0.000
5 Ru 0.500 0.500 0.500

=====

--- x ---
Compound: RuWS3
Source: Alexandria
Functional: PBE-GGA
Structure: relaxed

Computed properties:
Its symmetry is Pm-3m. The calculation puts the density of states at the Fermi level at 7.2 states/eV/cell. Its calculated volume is 18.073 Å³ per atom.

a b c (Å): 4.487 4.487 4.487
angles (deg): 90.00 90.00 90.00
Fractional positions:
1 S 0.000 0.500 0.000
2 S 0.500 0.000 0.000
3 S 0.000 0.000 0.500
4 Ru 0.000 0.000 0.000
5 W 0.500 0.500 0.500

=====

w comes first in stability; the runner-up is 458 meV per atom higher.

=====

--- w ---
Compound: Y2RuS
Source: Alexandria
Functional: PBE-GGA
Structure: relaxed

Computed properties:
Its symmetry is P4/mmm. The calculation puts the density of states at the Fermi level at 0.7 states/eV/cell. Its calculated volume is 20.529 Å³ per atom.

a b c (Å): 3.408 3.408 7.071
angles (deg): 90.00 90.00 90.00
Fractional positions:
1 Y 0.000 0.000 0.759
2 Y 0.000 0.000 0.241
3 S 0.500 0.500 0.500
4 Ru 0.500 0.500 0.000

=====

--- x ---
Compound: Y2RuS
Source: Alexandria
Functional: PBE-GGA
Structure: relaxed

Computed properties:
Its symmetry is Fm-3m. The calculation puts the density of states at the Fermi level at 0.1 states/eV/cell. Its calculated volume is 20.498 Å³ per atom.

a b c (Å): 4.876 4.876 4.876
angles (deg): 60.00 60.00 60.00
Fractional positions:
1 Y 0.250 0.250 0.250
2 Y 0.750 0.750 0.750
3 S 0.000 0.000 0.000
4 Ru 0.500 0.500 0.500

=====

w comes first in stability; the runner-up is 359 meV per atom higher.

=====

--- w ---
Compound: YRuS2
Source: Alexandria
Functional: PBE-GGA
Structure: relaxed

Computed properties:
Its symmetry is I-42d. The calculation puts the density of states at the Fermi level at 4.8 states/eV/cell. Its calculated volume is 21.688 Å³ per atom.

a b c (Å): 5.083 5.083 7.616
angles (deg): 70.51 70.51 90.00
Fractional positions:
1 Y 0.500 0.500 0.000
2 Y 0.250 0.750 0.500
3 S 0.375 0.314 0.750
4 S 0.875 0.936 0.750
5 S 0.064 0.625 0.250
6 S 0.686 0.125 0.250
7 Ru 0.000 0.000 0.000
8 Ru 0.750 0.250 0.500

=====

--- x ---
Compound: YRuS2
Source: Alexandria
Functional: PBE-GGA
Structure: relaxed

Computed properties:
Its symmetry is R-3m. The calculation puts the density of states at the Fermi level at 4.3 states/eV/cell. Its calculated volume is 25.715 Å³ per atom.

a b c (Å): 7.941 7.941 7.941
angles (deg): 28.81 28.81 28.81
Fractional positions:
1 S 0.898 0.898 0.898
2 S 0.102 0.102 0.102
3 Ru 0.000 0.000 0.000
4 Y 0.500 0.500 0.500

=====

w comes first in stability; the runner-up is 300 meV per atom higher.